Entry 1:
# PBE Ca6CuHg, relaxed
data_Ca6CuHg
_chemical_formula_sum 'Ca12 Cu2 Hg2'
_cell_length_a 5.3188
_cell_length_b 5.3188
_cell_length_c 18.9383
_cell_angle_alpha 90.00
_cell_angle_beta 90.00
_cell_angle_gamma 90.00
_symmetry_space_group_name_H-M 'I 4/m m m'
_symmetry_Int_Tables_number 139
_symmetry_space_group_name_Hall '-I 4 2'
loop_
_atom_site_label
_atom_site_type_symbol
_atom_site_fract_x
_atom_site_fract_y
_atom_site_fract_z
Ca1 Ca 0.0000 0.0000 0.2504
Ca2 Ca 0.0000 0.5000 0.0940
Cu1 Cu 0.0000 0.0000 0.0000
Hg1 Hg 0.0000 0.0000 0.5000
# Energy relative to the elements, eV/atom: -0.148
# Total energy, Ry/atom: -0.162


Entry 2:
# PBE CaCu2Hg, relaxed
data_CaCu2Hg
_chemical_formula_sum 'Ca1 Cu2 Hg1'
_cell_length_a 3.6281
_cell_length_b 4.5576
_cell_length_c 5.1962
_cell_angle_alpha 90.00
_cell_angle_beta 90.00
_cell_angle_gamma 90.00
_symmetry_space_group_name_H-M 'P m m m'
_symmetry_Int_Tables_number 47
loop_
_symmetry_equiv_pos_as_xyz
'x,y,z'
'-x,-y,-z'
'-x,-y,z'
'x,y,-z'
'x,-y,-z'
'-x,y,z'
'-x,y,-z'
'x,-y,z'
loop_
_atom_site_label
_atom_site_type_symbol
_atom_site_fract_x
_atom_site_fract_y
_atom_site_fract_z
Ca1 Ca 0.0000 0.0000 0.0000
Cu1 Cu 0.5000 0.5000 0.2382
Hg1 Hg 0.5000 0.0000 0.5000
# Energy relative to the elements, eV/atom: -0.035
# Total energy, Ry/atom: -0.195


Entry 3:
# PBE Ca2CuHg, relaxed
data_Ca2CuHg
_chemical_formula_sum 'Ca4 Cu2 Hg2'
_cell_length_a 7.2494
_cell_length_b 4.1482
_cell_length_c 8.0185
_cell_angle_alpha 90.00
_cell_angle_beta 107.23
_cell_angle_gamma 90.00
_symmetry_space_group_name_H-M 'C 1 2/m 1'
_symmetry_Int_Tables_number 12
loop_
_symmetry_equiv_pos_as_xyz
'x,y,z'
'-x,-y,-z'
'-x,y,-z'
'x,-y,z'
'x+1/2,y+1/2,z'
'-x+1/2,-y+1/2,-z'
'-x+1/2,y+1/2,-z'
'x+1/2,-y+1/2,z'
loop_
_atom_site_label
_atom_site_type_symbol
_atom_site_fract_x
_atom_site_fract_y
_atom_site_fract_z
Ca1 Ca 0.2397 0.0000 0.2193
Cu1 Cu 0.0000 0.5000 0.0000
Hg1 Hg 0.0000 0.0000 0.5000
# Energy relative to the elements, eV/atom: -0.179
# Total energy, Ry/atom: -0.168


Entry 4:
# PBE CaCu2Hg, relaxed
data_CaCu2Hg
_chemical_formula_sum 'Ca1 Cu2 Hg1'
_cell_length_a 3.3687
_cell_length_b 3.3687
_cell_length_c 6.7670
_cell_angle_alpha 90.00
_cell_angle_beta 90.00
_cell_angle_gamma 90.00
_symmetry_space_group_name_H-M 'P 4 m m'
_symmetry_Int_Tables_number 99
loop_
_symmetry_equiv_pos_as_xyz
'x,y,z'
'-y,x,z'
'-x,-y,z'
'y,-x,z'
'-x,y,z'
'y,x,z'
'x,-y,z'
'-y,-x,z'
loop_
_atom_site_label
_atom_site_type_symbol
_atom_site_fract_x
_atom_site_fract_y
_atom_site_fract_z
Ca1 Ca 0.0000 0.0000 0.0000
Cu1 Cu 0.0000 0.0000 0.4374
Cu2 Cu 0.5000 0.5000 0.2876
Hg1 Hg 0.5000 0.5000 0.6830
# Energy relative to the elements, eV/atom: -0.078
# Total energy, Ry/atom: -0.199


Entry 5:
# PBE Ca8Cu2Hg, relaxed
data_Ca8Cu2Hg
_chemical_formula_sum 'Ca16 Cu4 Hg2'
_cell_length_a 9.2056
_cell_length_b 13.5646
_cell_length_c 5.9427
_cell_angle_alpha 90.00
_cell_angle_beta 105.58
_cell_angle_gamma 90.00
_symmetry_space_group_name_H-M 'C 1 m 1'
_symmetry_Int_Tables_number 8
loop_
_symmetry_equiv_pos_as_xyz
'x,y,z'
'x,-y,z'
'x+1/2,y+1/2,z'
'x+1/2,-y+1/2,z'
loop_
_atom_site_label
_atom_site_type_symbol
_atom_site_fract_x
_atom_site_fract_y
_atom_site_fract_z
Ca1 Ca 0.0000 0.0000 0.0000
Ca2 Ca 0.0716 0.3695 0.7770
Ca3 Ca 0.1717 0.1309 0.5961
Ca4 Ca 0.2448 0.5000 0.3817
Ca5 Ca 0.3709 0.2345 0.1881
Cu1 Cu 0.3728 0.3138 0.6919
Hg1 Hg 0.3720 0.0000 0.2895
# Energy relative to the elements, eV/atom: -0.104
# Total energy, Ry/atom: -0.171


Entry 6:
# PBE Ca5CuHg4, relaxed
data_Ca5CuHg4
_chemical_formula_sum 'Ca5 Cu1 Hg4'
_cell_length_a 3.7128
_cell_length_b 3.7128
_cell_length_c 19.2476
_cell_angle_alpha 90.00
_cell_angle_beta 90.00
_cell_angle_gamma 90.00
_symmetry_space_group_name_H-M 'P 4/m m m'
_symmetry_Int_Tables_number 123
_symmetry_space_group_name_Hall '-P 4 2'
loop_
_atom_site_label
_atom_site_type_symbol
_atom_site_fract_x
_atom_site_fract_y
_atom_site_fract_z
Ca1 Ca 0.0000 0.0000 0.0000
Ca2 Ca 0.0000 0.0000 0.2042
Ca3 Ca 0.0000 0.0000 0.4083
Cu1 Cu 0.5000 0.5000 0.5000
Hg1 Hg 0.5000 0.5000 0.1023
Hg2 Hg 0.5000 0.5000 0.3072
# Energy relative to the elements, eV/atom: -0.444
# Total energy, Ry/atom: -0.145


Entry 7:
# PBE CaCu2Hg2, relaxed
data_CaCu2Hg2
_chemical_formula_sum 'Ca2 Cu4 Hg4'
_cell_length_a 7.8584
_cell_length_b 7.8584
_cell_length_c 3.2598
_cell_angle_alpha 90.00
_cell_angle_beta 90.00
_cell_angle_gamma 90.00
_symmetry_space_group_name_H-M 'P 4/m b m'
_symmetry_Int_Tables_number 127
_symmetry_space_group_name_Hall '-P 4 2ab'
loop_
_atom_site_label
_atom_site_type_symbol
_atom_site_fract_x
_atom_site_fract_y
_atom_site_fract_z
Ca1 Ca 0.0000 0.0000 0.0000
Cu1 Cu 0.1676 0.3324 0.5000
Hg1 Hg 0.1331 0.6331 0.0000
# Energy relative to the elements, eV/atom: 0.014
# Total energy, Ry/atom: -0.158
# Excess energy over the best structure of this formula in the dataset, meV per atom: 122


Entry 8:
# PBE Ca2CuHg3, relaxed
data_Ca2CuHg3
_chemical_formula_sum 'Ca2 Cu1 Hg3'
_cell_length_a 3.6901
_cell_length_b 4.7435
_cell_length_c 8.5462
_cell_angle_alpha 90.00
_cell_angle_beta 90.00
_cell_angle_gamma 90.00
_symmetry_space_group_name_H-M 'P m m 2'
_symmetry_Int_Tables_number 25
loop_
_symmetry_equiv_pos_as_xyz
'x,y,z'
'-x,-y,z'
'-x,y,z'
'x,-y,z'
loop_
_atom_site_label
_atom_site_type_symbol
_atom_site_fract_x
_atom_site_fract_y
_atom_site_fract_z
Ca1 Ca 0.0000 0.0000 0.0000
Ca2 Ca 0.0000 0.5000 0.4648
Cu1 Cu 0.5000 0.0000 0.3080
Hg1 Hg 0.5000 0.0000 0.6208
Hg2 Hg 0.5000 0.5000 0.1612
Hg3 Hg 0.5000 0.5000 0.8177
# Energy relative to the elements, eV/atom: -0.363
# Total energy, Ry/atom: -0.137


Entry 9:
# PBE CaCu2Hg2, relaxed
data_CaCu2Hg2
_chemical_formula_sum 'Ca2 Cu4 Hg4'
_cell_length_a 7.6415
_cell_length_b 7.6415
_cell_length_c 3.3748
_cell_angle_alpha 90.00
_cell_angle_beta 90.00
_cell_angle_gamma 90.00
_symmetry_space_group_name_H-M 'P 4/m b m'
_symmetry_Int_Tables_number 127
_symmetry_space_group_name_Hall '-P 4 2ab'
loop_
_atom_site_label
_atom_site_type_symbol
_atom_site_fract_x
_atom_site_fract_y
_atom_site_fract_z
Ca1 Ca 0.0000 0.0000 0.0000
Cu1 Cu 0.1173 0.3827 0.0000
Hg1 Hg 0.1749 0.6749 0.5000
# Energy relative to the elements, eV/atom: -0.059
# Total energy, Ry/atom: -0.163
# Excess energy over the best structure of this formula in the dataset, meV per atom: 49


Entry 10:
# PBE CaCu2Hg, relaxed
data_CaCu2Hg
_chemical_formula_sum 'Ca2 Cu4 Hg2'
_cell_length_a 3.9050
_cell_length_b 4.6958
_cell_length_c 8.5218
_cell_angle_alpha 90.00
_cell_angle_beta 90.00
_cell_angle_gamma 90.00
_symmetry_space_group_name_H-M 'I m m 2'
_symmetry_Int_Tables_number 44
loop_
_symmetry_equiv_pos_as_xyz
'x,y,z'
'-x,-y,z'
'-x,y,z'
'x,-y,z'
'x+1/2,y+1/2,z+1/2'
'-x+1/2,-y+1/2,z+1/2'
'-x+1/2,y+1/2,z+1/2'
'x+1/2,-y+1/2,z+1/2'
loop_
_atom_site_label
_atom_site_type_symbol
_atom_site_fract_x
_atom_site_fract_y
_atom_site_fract_z
Ca1 Ca 0.0000 0.0000 0.0000
Cu1 Cu 0.0000 0.0000 0.5370
Cu2 Cu 0.0000 0.5000 0.2221
Hg1 Hg 0.0000 0.5000 0.7777
# Energy relative to the elements, eV/atom: -0.043
# Total energy, Ry/atom: -0.196


Entry 11:
# PBE Ca2CuHg, relaxed
data_Ca2CuHg
_chemical_formula_sum 'Ca8 Cu4 Hg4'
_cell_length_a 7.1595
_cell_length_b 7.1595
_cell_length_c 7.1595
_cell_angle_alpha 90.00
_cell_angle_beta 90.00
_cell_angle_gamma 90.00
_symmetry_space_group_name_H-M 'F -4 3 m'
_symmetry_Int_Tables_number 216
_symmetry_space_group_name_Hall 'F -4 2 3'
loop_
_atom_site_label
_atom_site_type_symbol
_atom_site_fract_x
_atom_site_fract_y
_atom_site_fract_z
Ca1 Ca 0.0000 0.0000 0.0000
Ca2 Ca 0.2500 0.2500 0.2500
Cu1 Cu 0.2500 0.2500 0.7500
Hg1 Hg 0.0000 0.0000 0.5000
# Energy relative to the elements, eV/atom: -0.080
# Total energy, Ry/atom: -0.160


Entry 12:
# PBE CaCu2Hg, relaxed
data_CaCu2Hg
_chemical_formula_sum 'Ca2 Cu4 Hg2'
_cell_length_a 7.5394
_cell_length_b 4.3516
_cell_length_c 5.6935
_cell_angle_alpha 90.00
_cell_angle_beta 116.32
_cell_angle_gamma 90.00
_symmetry_space_group_name_H-M 'C 1 m 1'
_symmetry_Int_Tables_number 8
loop_
_symmetry_equiv_pos_as_xyz
'x,y,z'
'x,-y,z'
'x+1/2,y+1/2,z'
'x+1/2,-y+1/2,z'
loop_
_atom_site_label
_atom_site_type_symbol
_atom_site_fract_x
_atom_site_fract_y
_atom_site_fract_z
Ca1 Ca 0.0000 0.0000 0.0000
Cu1 Cu 0.0387 0.5000 0.6164
Cu2 Cu 0.2078 0.0000 0.6241
Hg1 Hg 0.2956 0.5000 0.3872
# Energy relative to the elements, eV/atom: -0.141
# Total energy, Ry/atom: -0.203


Q: Which formula does entry 2 have?
A: CaCu2Hg


Q: Among the records above, which one has the lowest energy relative to the elements?
A: Ca5CuHg4


Q: What is the energy relative to the elements in the second record?
A: -0.035 eV/atom